## TbSnAu4 (GGA-PBE)

Data for a geometry-optimized TbSnAu4 structure.

Lattice parameters (Å, degrees): 5.2929 5.2929 5.2040 90.07 90.07 121.20
Atoms (fractional coordinates):
Tb: 0.0000 0.0000 0.0000
Sn: 0.5000 0.5000 0.5000
Au: 0.1689 0.8311 0.5000
Au: 0.3301 0.6699 0.0000
Au: 0.6699 0.3301 0.0000
Au: 0.8311 0.1689 0.5000

Values from the calculation:
E_form ... -486 meV per atom
Magnetic moment ... 0.000 μB/f.u.
SG ... C2/m